CsBiMo2O8, optimized geometry, DFT PBE with a Hubbard U; E above lowest polymorph = 0 meV per atom; mass density = 3.95 g cm⁻³; crystal system = trigonal
1.0
6.147 0.000 0.000
-3.074 5.324 0.000
0.000 0.000 8.507
Cs Bi Mo O
1 1 2 8
Direct
0.000 0.000 0.000
0.000 0.000 0.500
0.667 0.333 0.262
0.333 0.667 0.738
0.333 0.667 0.943
0.343 0.183 0.329
0.817 0.160 0.329
0.667 0.333 0.057
0.183 0.840 0.671
0.657 0.817 0.671
0.160 0.343 0.671
0.840 0.657 0.329